Record 1
# K2SrFe

K2SrFe after structural relaxation (PBE, the Alexandria database).

Computed properties:
- Fermi-level density of states (states/eV per atom) = 0.707
- formation energy from the elements (eV/atom) = 0.77

Cell: 6.1400 6.1400 8.7270 Å, 90.00 90.00 90.00°
Closest atoms and distances in Å follow each position.
Space group I-4m2 (No. 119)
Unique sites:
K 0.0000 0.0000 0.0000 (multiplicity 2)  4 K 3.77, 4 Sr 3.77
K 0.0000 0.5000 0.2500 (multiplicity 2)  4 Fe 3.77, 4 K 3.77
Sr 0.0000 0.5000 0.7500 (multiplicity 2)  4 Fe 3.77, 4 K 3.77
Fe 0.0000 0.0000 0.5000 (multiplicity 2)  4 K 3.77, 4 Sr 3.77

Record 2
# In3OsBr

In3OsBr after structural relaxation (PBE, the Alexandria database).

Computed properties:
- Fermi-level density of states (states/eV per atom) = 1.193
- uncorrected formation energy (eV per atom) = 1.48

Cell: 5.6804 5.6804 5.6804 Å, 90.00 90.00 90.00°
Closest atoms and distances in Å follow each position.
Space group Pm-3m (No. 221)
Unique sites:
In 0.0000 0.0000 0.5000 (multiplicity 3)  2 Br 2.84
Os 0.5000 0.5000 0.5000 (multiplicity 1)  12 In 4.02
Br 0.0000 0.0000 0.0000 (multiplicity 1)  6 In 2.84

Record 3
# YOs2W

YOs2W after structural relaxation (PBE, the Alexandria database).

Computed properties:
- Fermi-level density of states (states/eV per atom) = 0.777
- formation energy from the elements (eV/atom) = 0.22

Cell: 6.5011 6.5011 6.5011 Å, 90.00 90.00 90.00°
Closest atoms and distances in Å follow each position.
Space group Fm-3m (No. 225)
Unique sites:
Y 0.0000 0.0000 0.0000 (multiplicity 4)  8 Os 2.82
Os 0.2500 0.2500 0.2500 (multiplicity 8)  4 W 2.82, 4 Y 2.82
W 0.0000 0.0000 0.5000 (multiplicity 4)  8 Os 2.82

Record 4
# LiSiBr

LiSiBr after structural relaxation (PBE, the Alexandria database).

Computed properties:
- Fermi-level density of states (states/eV per atom) = 0.186
- uncorrected formation energy (eV per atom) = -0.16

Cell: 3.4206 3.4206 11.3244 Å, 90.00 90.00 90.00°
Closest atoms and distances in Å follow each position.
Space group I4mm (No. 107)
Unique sites:
Li 0.0000 0.0000 0.0000 (multiplicity 2)  4 Br 2.65, 4 Si 2.83
Si 0.0000 0.0000 0.3709 (multiplicity 2)  1 Br 2.55, 4 Li 2.83
Br 0.0000 0.0000 0.5957 (multiplicity 2)  1 Si 2.55, 4 Li 2.65

Record 5
# Tb7Ga2Hg2

Tb7Ga2Hg2 after structural relaxation (PBE, the Alexandria database).

Computed properties:
- Fermi-level density of states (states/eV per atom) = 1.158
- formation energy from the elements (eV/atom) = -0.12

Cell: 7.5569 10.8165 7.8452 Å, 90.00 90.00 90.00°
Closest atoms and distances in Å follow each position.
Space group Cmmm (No. 65)
Unique sites:
Tb 0.0000 0.0000 0.0000 (multiplicity 2)  2 Hg 3.17
Tb 0.0000 0.5000 0.2753 (multiplicity 4)  2 Ga 3.06, 2 Hg 3.11, 4 Tb 3.30
Tb 0.2500 0.2500 0.2939 (multiplicity 8)  2 Hg 3.02, 2 Ga 3.21, 3 Tb 3.23-3.30
Ga 0.1690 0.0000 0.5000 (multiplicity 4)  1 Ga 2.55
Hg 0.0000 0.2935 0.0000 (multiplicity 4)  7 Tb 3.02-3.17

Record 6
# ZnCdSnSe4

ZnCdSnSe4 after structural relaxation (PBE, the Alexandria database).

Computed properties:
- uncorrected formation energy (eV per atom) = -0.52

Cell: 5.8888 5.8888 11.4039 Å, 90.00 90.00 90.00°
Closest atoms and distances in Å follow each position.
Space group I-4 (No. 82)
Unique sites:
Zn 0.0000 0.0000 0.0000 (multiplicity 2)  4 Se 2.50
Cd 0.0000 0.5000 0.2500 (multiplicity 2)  4 Se 2.69
Sn 0.0000 0.5000 0.7500 (multiplicity 2)  4 Se 2.58
Se 0.2304 0.2471 0.6080 (multiplicity 8)  1 Zn 2.50, 1 Sn 2.58, 1 Cd 2.69

Record 7
# GaFeSn4

GaFeSn4 after structural relaxation (PBE, the Alexandria database).

Computed properties:
- Fermi-level density of states (states/eV per atom) = 0.515
- formation energy from the elements (eV/atom) = 0.07

Cell: 6.8934 6.8934 11.1700 Å, 90.00 90.00 90.00°
Closest atoms and distances in Å follow each position.
Space group I4/mcm (No. 140)
Unique sites:
Ga 0.0000 0.0000 0.0000 (multiplicity 4)  2 Fe 2.79, 8 Sn 3.04
Fe 0.0000 0.0000 0.2500 (multiplicity 4)  2 Ga 2.79, 8 Sn 2.87
Sn 0.1571 0.3429 0.1404 (multiplicity 16)  2 Fe 2.87, 2 Ga 3.04, 3 Sn 3.05-3.14

Record 8
# CdCoTe2

CdCoTe2 after structural relaxation (PBE, the Alexandria database).

Computed properties:
- Fermi-level density of states (states/eV per atom) = 0.941
- uncorrected formation energy (eV per atom) = 0.12

Cell: 3.3942 3.3942 29.3857 Å, 90.00 90.00 120.00°
Closest atoms and distances in Å follow each position.
Space group R3m (No. 160, hexagonal axes)
Unique sites:
Cd 0.0000 0.0000 0.0000 (multiplicity 3)  3 Co 2.79
Co 0.0000 0.0000 0.7341 (multiplicity 3)  3 Te 2.45
Te 0.0000 0.0000 0.2450 (multiplicity 3)  3 Cd 3.25, 6 Te 3.39
Te 0.0000 0.0000 0.4506 (multiplicity 3)  3 Co 2.45

Record 9
# LaP2Br

LaP2Br after structural relaxation (PBE, the Alexandria database).

Computed properties:
- Fermi-level density of states (states/eV per atom) = 0.570
- uncorrected formation energy (eV per atom) = -0.38

Cell: 4.2632 4.2632 9.8164 Å, 90.00 90.00 90.00°
Closest atoms and distances in Å follow each position.
Space group I-4m2 (No. 119)
Unique sites:
La 0.0000 0.0000 0.0000 (multiplicity 2)  8 P 3.01-3.25, 4 Br 3.25
P 0.0000 0.0000 0.5000 (multiplicity 2)  4 La 3.01, 4 Br 3.25, 4 P 3.25
P 0.0000 0.5000 0.7500 (multiplicity 2)  4 Br 3.01, 4 La 3.25, 4 P 3.25
Br 0.0000 0.5000 0.2500 (multiplicity 2)  8 P 3.01-3.25, 4 La 3.25

Record 10
# AlFeCu2

AlFeCu2 after structural relaxation (PBE, the Alexandria database).

Computed properties:
- Fermi-level density of states (states/eV per atom) = 0.732
- formation energy from the elements (eV/atom) = -0.06

Cell: 3.6283 3.6283 7.5848 Å, 90.00 90.00 90.00°
Closest atoms and distances in Å follow each position.
Space group I4/mmm (No. 139)
Unique sites:
Al 0.0000 0.0000 0.0000 (multiplicity 2)  4 Fe 2.57, 8 Cu 2.62
Fe 0.0000 0.0000 0.5000 (multiplicity 2)  4 Al 2.57, 8 Cu 2.62
Cu 0.0000 0.5000 0.2500 (multiplicity 4)  4 Cu 2.57, 4 Fe 2.62, 4 Al 2.62

Record 11
# In3GeH

In3GeH after structural relaxation (PBE, the Alexandria database).

Computed properties:
- Fermi-level density of states (states/eV per atom) = 0.715

Cell: 5.5310 5.5310 5.5310 Å, 90.00 90.00 90.00°
Closest atoms and distances in Å follow each position.
Space group Pm-3m (No. 221)
Unique sites:
In 0.0000 0.0000 0.5000 (multiplicity 3)  2 Ge 2.77
Ge 0.0000 0.0000 0.0000 (multiplicity 1)  6 In 2.77
H 0.5000 0.5000 0.5000 (multiplicity 1)  12 In 3.91

Record 12
# Ti6H2C3N

Ti6H2C3N after structural relaxation (PBE, the Alexandria database).

Computed properties:
- Fermi-level density of states (states/eV per atom) = 0.393

Cell: 5.3030 9.1718 5.2419 Å, 90.00 109.95 90.00°
Closest atoms and distances in Å follow each position.
Space group C2/m (No. 12)
Unique sites:
Ti 0.2318 0.0000 0.2440 (multiplicity 4)  1 N 2.11, 3 C 2.11-2.21, 2 H 2.19
Ti 0.2472 0.1595 0.7654 (multiplicity 8)  3 C 2.08-2.17, 1 N 2.13, 2 H 2.24
H 0.0000 0.3358 0.5000 (multiplicity 4)  6 Ti 2.19-2.24
C 0.0000 0.1679 0.0000 (multiplicity 4)  6 Ti 2.08-2.17
C 0.0000 0.5000 0.0000 (multiplicity 2)  6 Ti 2.08-2.21
N 0.0000 0.0000 0.5000 (multiplicity 2)  6 Ti 2.11-2.13

Going through the records in order, we get total energy values of -2.3131 -2.7430 -10.2474 -3.1597 -3.6685 -3.3959 -4.5118 -3.4587 -4.7314 -5.1547 -2.4916 -8.4485 eV/atom.